A plane-wave DFT calculation with PBE was carried out for a relaxed structure of SrPm2BeO5.

Geometry as POSCAR:
```
SrPm2BeO5
1.0
-3.322 3.322 5.240
3.322 -3.322 5.240
3.322 3.322 -5.240
Sr Pm Be O
2 4 2 10
Direct
0.250 0.250 0.000 Sr
0.750 0.750 0.000 Sr
0.174 0.674 0.848 Pm
0.326 0.174 0.500 Pm
0.674 0.826 0.500 Pm
0.826 0.326 0.152 Pm
0.250 0.750 0.500 Be
0.750 0.250 0.500 Be
0.000 0.000 0.000 O
0.010 0.780 0.500 O
0.220 0.720 0.230 O
0.280 0.510 0.500 O
0.490 0.990 0.770 O
0.500 0.500 0.000 O
0.510 0.010 0.230 O
0.720 0.490 0.500 O
0.780 0.280 0.770 O
0.990 0.220 0.500 O
```

Properties
- Space group: No. 140
- N(E_F): 0.000 states/eV/atom
- Mass density: 6.7 g/cm³
- Raw formation energy: -3.10 eV/atom
- Spin magnetization: 0.00 μB/atom
- Electronic total energy: -7.51 eV per atom